Record 1
DFT (PBE-GGA) results for a geometry-optimized MgCu2Ag2 structure.

Results
For the energy above the most stable polymorph in this dataset, the calculation gives 60 meV/atom. For the formation energy from the elements, the calculation gives 0.0896 eV/atom. The value obtained for the density of states at the Fermi level is 1.79 states/eV/f.u.

Structure (extended XYZ):
```
5
Lattice="3.4849 0.0000 0.0000 0.0000 3.4849 0.0000 1.7424 1.7424 7.0118" Properties=species:S:1:pos:R:3 pbc="T T T"
Mg 0.0000 0.0000 0.0000
Cu 3.4849 1.7424 3.5059
Cu 1.7424 3.4849 3.5059
Ag 1.7424 1.7424 1.4432
Ag 3.4849 3.4849 5.5686
```


Record 2
DFT (PBE-GGA) results for a geometry-optimized SrMg2Ag structure.

Results
For the formation energy from the elements, the calculation gives -0.1391 eV/atom. The value obtained for the density of states at the Fermi level is 2.27 states/eV/f.u.

Structure (extended XYZ):
```
4
Lattice="-3.0509 -1.6854 -3.4171 -4.3343 -1.8411 1.2842 -4.7678 3.9595 -1.1704" Properties=species:S:1:pos:R:3 pbc="T T T"
Sr -6.0416 0.1357 -1.6447
Mg -7.5419 -3.1744 -2.1639
Mg -9.4072 0.9727 -2.5358
Ag -2.6241 -0.8108 -0.7432
```